Crystalline Tb2GdDy at its relaxed geometry, computed with PBE-GGA.

Output
Its total energy is -6.863 eV per atom. The formation energy from the elements comes out at 0.123 eV/atom. The value obtained for the energy above the lowest structure with this stoichiometry is 106.0 meV/atom. The value obtained for the density of states at the Fermi level is 7.6 states/eV/f.u.

Lattice parameters (Å, degrees): 8.028 8.028 8.028 90.00 90.00 90.00
Space group Fm-3m (No. 225)
One atom of each set of equivalent atoms:
Tb 0.250 0.250 0.250
Gd 0.000 0.000 0.000
Dy 0.000 0.000 0.500

Crystalline TbGdDy at its relaxed geometry, computed with PBE-GGA.

Output
Its total energy is -7.751 eV per atom. The formation energy from the elements comes out at 0.020 eV/atom. The value obtained for the density of states at the Fermi level is 4.4 states/eV/f.u.

Lattice parameters (Å, degrees): 3.5643 3.5643 8.7101 90.00 90.00 120.00
Space group P3m1 (No. 156)
One atom of each set of equivalent atoms:
Tb 0.0000 0.0000 0.0000
Gd 0.6667 0.3333 0.3361
Dy 0.3333 0.6667 0.6708

Crystalline Tb2GdDy at its relaxed geometry, computed with PBE-GGA.

Output
Its total energy is -6.967 eV per atom. The formation energy from the elements comes out at 0.019 eV/atom. The value obtained for the energy above the lowest structure with this stoichiometry is 2.1 meV/atom. The value obtained for the density of states at the Fermi level is 5.9 states/eV/f.u.

Lattice parameters (Å, degrees): 3.5627 3.5627 34.8503 90.00 90.00 120.00
Space group R-3m (No. 166, hexagonal axes)
One atom of each set of equivalent atoms:
Tb 0.0000 0.0000 0.2494
Gd 0.0000 0.0000 0.0000
Dy 0.0000 0.0000 0.5000

Crystalline Tb2GdDy at its relaxed geometry, computed with PBE-GGA.

Output
Its total energy is -6.969 eV per atom. The formation energy from the elements comes out at 0.017 eV/atom. The value obtained for the energy above the lowest structure with this stoichiometry is 0.0 meV/atom. The value obtained for the density of states at the Fermi level is 6.7 states/eV/f.u.

Lattice parameters (Å, degrees): 5.032 5.032 5.034 90.00 90.00 90.00
Space group P4/mmm (No. 123)
One atom of each set of equivalent atoms:
Tb 0.000 0.500 0.000
Gd 0.000 0.000 0.500
Dy 0.500 0.500 0.500